PBE CaHf3Ge, optimized geometry; Fermi-level density of states = 8.169 states/eV/f.u.
1.0
5.011 0.000 0.000
0.000 5.011 0.000
0.000 0.000 5.011
Ca Hf Ge
1 3 1
direct
0.000 0.000 0.000 Ca
0.000 0.000 0.500 Hf
0.000 0.500 0.000 Hf
0.500 0.000 0.000 Hf
0.500 0.500 0.500 Ge

---

PBE NdSm2Tm7, optimized geometry; Fermi-level density of states = 14.298 states/eV/f.u.
1.0
4.292 -8.609 0.000
4.292 8.609 0.000
0.000 0.000 5.161
Nd Sm Tm
1 2 7
direct
0.000 0.000 0.000 Nd
0.299 0.701 0.500 Sm
0.701 0.299 0.500 Sm
0.070 0.288 0.500 Tm
0.197 0.803 0.000 Tm
0.288 0.070 0.500 Tm
0.500 0.500 0.500 Tm
0.712 0.930 0.500 Tm
0.803 0.197 0.000 Tm
0.930 0.712 0.500 Tm

---

PBE SnBiP, optimized geometry; Fermi-level density of states = 1.056 states/eV/f.u.
1.0
3.262 0.000 0.000
-1.591 6.164 0.000
-1.503 -2.224 8.420
Sn Bi P
2 2 2
direct
0.000 0.000 0.000 Sn
0.224 0.732 0.690 Sn
0.020 0.739 0.268 Bi
0.349 0.267 0.395 Bi
0.115 0.363 0.851 P
0.458 0.186 0.699 P

---

Excess energy over the best structure of this formula in the dataset readings, ordered: 1508.6 680.0 45.7 meV/atom
Calculated formation energy readings, ordered: 1.85 0.70 0.09 eV/atom
Size of the total moment readings, ordered: 0.00 0.00 0.00 μB per cell